[1]
VASP calculation (GGA-PBE) on a relaxed structure of SrPH2Ru.

VASP energy, hartree per atom: -0.1378

abc: 3.7871 3.7871 6.1839
angles: 90.00 90.00 90.00
Last column: nearest neighbours and their distance in Å.
Fractional positions:
Sr1 0.0000 0.0000 0.0000  4 H 1.89
P1 0.0000 0.0000 0.5000  4 Ru 2.68
H1 0.0000 0.5000 0.0000  2 Sr 1.89
H2 0.5000 0.0000 0.0000  2 Sr 1.89
Ru1 0.5000 0.5000 0.5000  4 P 2.68

---

[2]
VASP calculation (GGA-PBE) on a relaxed structure of TbPHRu2.

VASP energy, hartree per atom: -0.2573

abc: 5.6081 5.6081 7.2298
angles: 90.00 90.00 142.12
Last column: nearest neighbours and their distance in Å.
Fractional positions:
Tb1 0.0535 0.9465 0.7500  4 H 2.63
Tb2 0.9465 0.0535 0.2500  4 H 2.63
P1 0.2271 0.7729 0.2500  6 Ru 2.40-2.52
P2 0.7729 0.2271 0.7500  6 Ru 2.40-2.52
H1 0.5000 0.5000 0.0000  2 Ru 1.76
H2 0.5000 0.5000 0.5000  2 Ru 1.76
Ru1 0.3390 0.6610 0.5575  1 H 1.76
Ru2 0.3390 0.6610 0.9425  1 H 1.76
Ru3 0.6610 0.3390 0.0575  1 H 1.76
Ru4 0.6610 0.3390 0.4425  1 H 1.76

---

[3]
VASP calculation (GGA-PBE) on a relaxed structure of VP2HRu.

E above lowest polymorph, eV/atom: 0.018

abc: 4.1739 4.1739 3.1919
angles: 90.00 90.00 90.00
Last column: nearest neighbours and their distance in Å.
Fractional positions:
V1 0.0000 0.0000 0.0000  8 P 2.63
P1 0.0000 0.5000 0.5000  2 H 2.09
P2 0.5000 0.0000 0.5000  2 H 2.09
H1 0.5000 0.5000 0.5000  2 Ru 1.60
Ru1 0.5000 0.5000 0.0000  2 H 1.60